No. 1
14
Lattice="7.222 0.000 0.000 0.000 7.222 0.000 0.000 0.000 6.856" Properties=species:S:1:pos:R:3 comment="Li4AcCd2 PBE-GGA optimized geometry" formation_energy_mev_per_atom=106 polymorph_energy_mev_per_atom=193 final_energy_ev_per_cell=-25.70 pbc="T T T"
Li 0.000 1.725 0.000
Li 0.000 5.497 0.000
Li 1.725 0.000 0.000
Li 1.886 3.611 3.428
Li 3.611 1.886 3.428
Li 3.611 5.336 3.428
Li 5.336 3.611 3.428
Li 5.497 0.000 0.000
Ac 0.000 0.000 3.428
Ac 3.611 3.611 0.000
Cd 0.000 3.611 1.714
Cd 0.000 3.611 5.142
Cd 3.611 0.000 1.714
Cd 3.611 0.000 5.142

=====

No. 2
4
Lattice="5.063 0.000 0.000 0.000 5.063 0.000 0.000 0.000 4.400" Properties=species:S:1:pos:R:3 comment="Li2AcCd PBE-GGA optimized geometry" formation_energy_mev_per_atom=67 polymorph_energy_mev_per_atom=185 final_energy_ev_per_cell=-8.58 pbc="T T T"
Li 0.000 2.532 0.000
Li 2.532 0.000 0.000
Ac 0.000 0.000 2.200
Cd 2.532 2.532 2.200

=====

No. 3
5
Lattice="5.056 0.000 0.000 0.000 5.056 0.000 0.000 0.000 5.056" Properties=species:S:1:pos:R:3 comment="LiAcCd3 PBE-GGA optimized geometry" formation_energy_mev_per_atom=-172 polymorph_energy_mev_per_atom=73 final_energy_ev_per_cell=-9.63 pbc="T T T"
Li 0.000 0.000 0.000
Ac 2.528 2.528 2.528
Cd 0.000 0.000 2.528
Cd 0.000 2.528 0.000
Cd 2.528 0.000 0.000

=====

No. 4
12
Lattice="6.591 0.000 0.000 0.000 3.731 0.000 -2.269 0.000 15.659" Properties=species:S:1:pos:R:3 comment="LiAcCd PBE-GGA optimized geometry" formation_energy_mev_per_atom=69 polymorph_energy_mev_per_atom=266 final_energy_ev_per_cell=-26.92 pbc="T T T"
Li -0.064 0.000 6.739
Li 1.091 1.866 8.920
Li 3.231 1.866 6.739
Li 4.386 0.000 8.920
Ac 1.073 1.866 3.774
Ac -0.047 0.000 11.884
Ac 4.369 0.000 3.774
Ac 3.249 1.866 11.884
Cd -1.184 1.866 14.609
Cd 2.211 0.000 1.050
Cd 2.111 0.000 14.609
Cd 5.507 1.866 1.050

=====

No. 5
13
Lattice="0.000 7.215 7.253 2.801 0.000 7.253 2.801 7.215 0.000" Properties=species:S:1:pos:R:3 comment="Li2AcCd10 PBE-GGA optimized geometry" formation_energy_mev_per_atom=-206 final_energy_ev_per_cell=-19.76 pbc="T T T"
Li 1.400 0.000 3.627
Li 1.400 7.215 3.627
Ac 0.000 0.000 0.000
Cd 1.400 3.607 0.000
Cd 2.801 4.773 2.636
Cd 2.801 5.709 5.585
Cd 2.801 9.656 2.636
Cd 2.801 8.721 5.585
Cd 1.400 3.607 7.253
Cd 2.801 5.709 8.922
Cd 2.801 4.773 11.871
Cd 2.801 8.721 8.922
Cd 2.801 9.656 11.871

=====

No. 6
12
Lattice="4.794 0.000 0.000 -2.397 4.152 0.000 0.000 0.000 15.830" Properties=species:S:1:pos:R:3 comment="Li2AcCd PBE-GGA optimized geometry" formation_energy_mev_per_atom=-85 polymorph_energy_mev_per_atom=32 final_energy_ev_per_cell=-27.57 pbc="T T T"
Li 0.000 0.000 3.297
Li 0.000 0.000 12.533
Li 0.000 2.768 7.256
Li 0.000 2.768 13.850
Li 2.397 1.384 1.980
Li 2.397 1.384 8.574
Ac 0.000 0.000 0.000
Ac 0.000 2.768 10.553
Ac 2.397 1.384 5.277
Cd 0.000 0.000 7.915
Cd 0.000 2.768 2.638
Cd 2.397 1.384 13.192

=====

No. 7
14
Lattice="7.126 0.000 0.000 0.000 7.126 0.000 0.000 0.000 7.126" Properties=species:S:1:pos:R:3 comment="Li3AcCd3 PBE-GGA optimized geometry" formation_energy_mev_per_atom=50 polymorph_energy_mev_per_atom=208 final_energy_ev_per_cell=-24.50 pbc="T T T"
Li 0.000 1.782 3.563
Li 0.000 5.345 3.563
Li 1.782 3.563 0.000
Li 3.563 0.000 1.782
Li 3.563 0.000 5.345
Li 5.345 3.563 0.000
Ac 0.000 0.000 0.000
Ac 3.563 3.563 3.563
Cd 0.000 3.563 1.782
Cd 0.000 3.563 5.345
Cd 1.782 0.000 3.563
Cd 3.563 1.782 0.000
Cd 3.563 5.345 0.000
Cd 5.345 0.000 3.563

=====

No. 8
6
Lattice="4.108 0.000 0.000 0.000 4.108 0.000 0.000 0.000 12.067" Properties=species:S:1:pos:R:3 comment="LiAc3Cd2 PBE-GGA optimized geometry" formation_energy_mev_per_atom=-181 polymorph_energy_mev_per_atom=10 final_energy_ev_per_cell=-17.15 pbc="T T T"
Li 0.000 0.000 0.000
Ac 2.054 2.054 2.056
Ac 2.054 2.054 6.034
Ac 2.054 2.054 10.011
Cd 0.000 0.000 3.996
Cd 0.000 0.000 8.072

=====

No. 9
4
Lattice="3.695 0.000 0.000 0.000 3.695 0.000 0.000 0.000 7.618" Properties=species:S:1:pos:R:3 comment="Li2AcCd PBE-GGA optimized geometry" formation_energy_mev_per_atom=-48 polymorph_energy_mev_per_atom=69 final_energy_ev_per_cell=-9.04 pbc="T T T"
Li 0.000 0.000 1.388
Li 0.000 0.000 6.229
Ac 1.848 1.848 3.809
Cd 1.848 1.848 0.000

=====

No. 10
12
Lattice="3.078 1.777 10.037 -3.078 1.777 10.037 0.000 -3.554 10.037" Properties=species:S:1:pos:R:3 comment="LiAc3Cd8 PBE-GGA optimized geometry" formation_energy_mev_per_atom=-256 final_energy_ev_per_cell=-24.63 pbc="T T T"
Li 0.000 0.000 0.000
Ac 0.000 0.000 3.744
Ac 0.000 0.000 15.210
Ac 0.000 0.000 19.010
Cd -1.546 -0.892 11.996
Cd 0.000 -1.783 7.047
Cd -1.544 0.892 7.047
Cd 0.000 0.000 9.544
Cd 1.546 -0.892 11.996
Cd 0.000 1.785 11.996
Cd 1.544 0.892 7.047
Cd 0.000 0.000 24.563

=====

No. 11
19
Lattice="9.114 -3.923 0.000 9.114 3.923 0.000 -0.644 0.000 7.505" Properties=species:S:1:pos:R:3 comment="Li2Ac5Cd12 PBE-GGA optimized geometry" formation_energy_mev_per_atom=-232 final_energy_ev_per_cell=-39.76 pbc="T T T"
Li 9.114 2.308 0.000
Li 9.114 -2.308 0.000
Ac 3.683 0.000 0.417
Ac 4.342 0.000 4.411
Ac 8.792 0.000 3.753
Ac 13.242 0.000 3.094
Ac 13.902 0.000 7.088
Cd 0.383 0.000 5.207
Cd 6.844 2.433 4.924
Cd 6.384 1.544 1.857
Cd 10.740 2.433 2.581
Cd 6.814 0.000 6.933
Cd 11.200 1.544 5.648
Cd 6.384 -1.544 1.857
Cd 10.770 0.000 0.572
Cd 6.844 -2.433 4.924
Cd 11.200 -1.544 5.648
Cd 10.740 -2.433 2.581
Cd 17.201 0.000 2.298

=====

No. 12
10
Lattice="3.515 0.000 0.000 0.000 3.515 0.000 0.000 0.000 17.446" Properties=species:S:1:pos:R:3 comment="Li4AcCd5 PBE-GGA optimized geometry" formation_energy_mev_per_atom=-228 final_energy_ev_per_cell=-18.62 pbc="T T T"
Li 0.000 0.000 1.550
Li 0.000 0.000 4.708
Li 0.000 0.000 12.738
Li 0.000 0.000 15.896
Ac 0.000 0.000 8.723
Cd 1.758 1.758 0.000
Cd 1.758 1.758 3.120
Cd 1.758 1.758 6.218
Cd 1.758 1.758 11.228
Cd 1.758 1.758 14.326

=====

No. 13
10
Lattice="-3.026 4.118 5.365 3.026 -4.118 5.365 3.026 4.118 -5.365" Properties=species:S:1:pos:R:3 comment="LiAcCd3 PBE-GGA optimized geometry" formation_energy_mev_per_atom=-177 polymorph_energy_mev_per_atom=68 final_energy_ev_per_cell=-19.31 pbc="T T T"
Li 0.000 0.000 0.000
Li 0.000 4.118 0.000
Ac 3.026 2.059 0.157
Ac 0.000 2.059 5.208
Cd 1.513 3.644 -2.683
Cd 1.513 -0.474 2.683
Cd 0.000 2.059 1.777
Cd 3.026 2.059 3.588
Cd -1.513 4.593 2.683
Cd 1.513 4.593 2.683

=====

No. 14
24
Lattice="7.981 0.000 0.000 3.835 8.283 0.000 2.492 3.809 9.056" Properties=species:S:1:pos:R:3 comment="LiAcCd4 PBE-GGA optimized geometry" formation_energy_mev_per_atom=-256 polymorph_energy_mev_per_atom=0 final_energy_ev_per_cell=-44.87 pbc="T T T"
Li 1.651 2.745 0.246
Li 2.937 3.778 7.722
Li 11.371 8.314 1.335
Li 12.656 9.347 8.811
Ac 5.319 6.485 3.743
Ac 4.735 2.278 1.775
Ac 9.573 9.814 7.281
Ac 8.988 5.607 5.314
Cd 1.266 1.868 2.965
Cd 2.571 4.741 2.410
Cd 3.700 3.515 4.962
Cd 4.781 5.545 0.561
Cd 6.228 8.236 0.757
Cd 6.714 7.666 7.241
Cd 5.572 4.981 7.013
Cd 7.596 8.817 4.609
Cd 6.711 3.275 4.447
Cd 8.735 7.111 2.043
Cd 7.593 4.426 1.815
Cd 8.080 3.856 8.299
Cd 9.526 6.547 8.496
Cd 10.607 8.577 4.094
Cd 11.737 7.351 6.646
Cd 13.042 10.224 6.091

=====

No. 15
9
Lattice="4.450 0.000 0.000 0.000 4.450 0.000 0.000 0.000 10.670" Properties=species:S:1:pos:R:3 comment="Li6AcCd2 PBE-GGA optimized geometry" formation_energy_mev_per_atom=-110 polymorph_energy_mev_per_atom=0 final_energy_ev_per_cell=-18.41 pbc="T T T"
Li 0.000 0.000 0.000
Li 0.000 2.225 2.038
Li 0.000 2.225 8.632
Li 2.225 0.000 2.038
Li 2.225 0.000 8.632
Li 2.225 2.225 0.000
Ac 0.000 0.000 5.335
Cd 2.225 2.225 3.754
Cd 2.225 2.225 6.916

=====

No. 16
10
Lattice="2.854 -10.995 0.000 2.854 10.995 0.000 0.000 0.000 5.726" Properties=species:S:1:pos:R:3 comment="LiAc3Cd PBE-GGA optimized geometry" formation_energy_mev_per_atom=-93 final_energy_ev_per_cell=-31.24 pbc="T T T"
Li 2.854 7.577 4.294
Li 2.854 -7.577 1.431
Ac 2.854 9.616 1.431
Ac 2.854 5.487 1.431
Ac 2.854 1.419 1.431
Ac 2.854 -1.419 4.294
Ac 2.854 -5.487 4.294
Ac 2.854 -9.616 4.294
Cd 2.854 3.471 4.294
Cd 2.854 -3.471 1.431

=====

No. 17
18
Lattice="3.215 -8.567 0.000 3.215 8.567 0.000 0.000 0.000 8.301" Properties=species:S:1:pos:R:3 comment="Li4Ac2Cd3 PBE-GGA optimized geometry" formation_energy_mev_per_atom=-148 final_energy_ev_per_cell=-39.90 pbc="T T T"
Li 3.215 5.558 8.227
Li 1.607 1.031 6.225
Li 1.607 -1.031 2.075
Li 3.215 3.009 4.077
Li 3.215 -3.009 4.224
Li 4.822 1.031 6.225
Li 4.822 -1.031 2.075
Li 3.215 -5.558 0.073
Ac 3.215 6.630 4.900
Ac 3.215 1.936 0.750
Ac 3.215 -1.936 7.551
Ac 3.215 -6.630 3.400
Cd 0.000 0.000 0.000
Cd 1.607 3.863 6.225
Cd 1.607 -3.863 2.075
Cd 3.215 0.000 4.150
Cd 4.822 3.863 6.225
Cd 4.822 -3.863 2.075

=====

No. 18
20
Lattice="-5.817 7.069 3.090 5.817 -7.069 3.090 5.817 7.069 -3.090" Properties=species:S:1:pos:R:3 comment="Li3Ac2Cd5 PBE-GGA optimized geometry" formation_energy_mev_per_atom=-228 final_energy_ev_per_cell=-41.64 pbc="T T T"
Li 6.849 2.090 0.000
Li 0.000 0.000 1.545
Li 1.032 4.980 0.000
Li 4.786 2.090 3.090
Li 0.000 0.000 4.635
Li -1.032 4.980 3.090
Ac 3.313 2.073 0.000
Ac 3.313 -2.073 3.090
Ac 2.505 9.142 0.000
Ac 2.505 4.997 3.090
Cd 5.817 4.219 -1.545
Cd 9.514 1.172 0.000
Cd 5.817 0.000 1.545
Cd 3.697 5.897 0.000
Cd 0.000 2.851 1.545
Cd 5.817 4.219 1.545
Cd 2.120 1.172 3.090
Cd 0.000 7.069 1.545
Cd -3.697 5.897 3.090
Cd 0.000 2.851 4.635

=====

No. 19
13
Lattice="-5.109 5.109 2.680 5.109 -5.109 2.680 5.109 5.109 -2.680" Properties=species:S:1:pos:R:3 comment="Li4AcCd8 PBE-GGA optimized geometry" formation_energy_mev_per_atom=-253 final_energy_ev_per_cell=-22.38 pbc="T T T"
Li 2.554 2.554 -1.340
Li 2.554 -2.554 1.340
Li -2.554 2.554 1.340
Li 2.554 2.554 1.340
Ac 0.000 0.000 0.000
Cd 3.602 0.000 0.000
Cd 6.616 0.000 0.000
Cd 5.109 2.863 0.000
Cd 0.000 3.602 0.000
Cd 2.863 5.109 0.000
Cd 2.246 0.000 2.680
Cd 0.000 6.616 0.000
Cd 0.000 2.246 2.680

=====

No. 20
18
Lattice="3.215 -8.487 0.000 3.215 8.487 0.000 0.000 0.000 8.610" Properties=species:S:1:pos:R:3 comment="Li3Ac2Cd4 PBE-GGA optimized geometry" formation_energy_mev_per_atom=-223 final_energy_ev_per_cell=-39.25 pbc="T T T"
Li 0.000 0.000 0.000
Li 1.607 3.773 2.153
Li 1.607 -3.773 6.458
Li 3.215 0.000 4.305
Li 4.822 3.773 2.153
Li 4.822 -3.773 6.458
Ac 3.215 6.549 3.541
Ac 3.215 1.938 7.846
Ac 3.215 -1.938 0.764
Ac 3.215 -6.549 5.069
Cd 3.215 5.427 0.158
Cd 1.607 0.944 2.153
Cd 1.607 -0.944 6.458
Cd 3.215 3.060 4.463
Cd 3.215 -3.060 4.147
Cd 4.822 0.944 2.153
Cd 4.822 -0.944 6.458
Cd 3.215 -5.427 8.452

=====

No. 21
16
Lattice="5.325 0.000 0.000 0.000 11.505 0.000 0.000 0.000 6.836" Properties=species:S:1:pos:R:3 comment="Li2AcCd PBE-GGA optimized geometry" formation_energy_mev_per_atom=-117 polymorph_energy_mev_per_atom=0 final_energy_ev_per_cell=-37.28 pbc="T T T"
Li 0.000 1.435 0.377
Li 0.000 1.435 3.041
Li 0.000 10.070 3.795
Li 0.000 10.070 6.459
Li 2.663 4.318 3.795
Li 2.663 4.318 6.459
Li 2.663 7.187 0.377
Li 2.663 7.187 3.041
Ac 0.000 4.671 1.709
Ac 0.000 6.833 5.127
Ac 2.663 1.081 5.127
Ac 2.663 10.424 1.709
Cd 0.000 3.437 5.127
Cd 0.000 8.068 1.709
Cd 2.663 2.315 1.709
Cd 2.663 9.189 5.127